(i)
Computed, not measured: crystalline MnTc2HRu at its relaxed geometry at the PBE level of DFT.

Summary:
Crystal system: tetragonal
Volume in Å³ per atom: 11.445
Size of the total moment in μB per cell: 1.292

a b c (Å): 3.8717 3.8717 3.8174
angles (deg): 90.00 90.00 90.00
Last column: nearest neighbours and their distance in Å.
Space group P4/mmm (No. 123)
Symmetry-distinct sites (fractional):
Mn 0.0000 0.0000 0.0000 [1 per cell]  2 H 1.91
Tc 0.0000 0.5000 0.5000 [2 per cell]  2 H 1.94
H 0.0000 0.0000 0.5000 [1 per cell]  2 Mn 1.91, 4 Tc 1.94
Ru 0.5000 0.5000 0.0000 [1 per cell]  8 Tc 2.72, 4 Mn 2.74

***

(ii)
Computed, not measured: crystalline MnTc2HRu at its relaxed geometry at the PBE level of DFT.

Summary:
Crystal system: tetragonal
Volume in Å³ per atom: 11.571
Size of the total moment in μB per cell: 1.385

a b c (Å): 3.8684 3.8684 3.8663
angles (deg): 90.00 90.00 90.00
Last column: nearest neighbours and their distance in Å.
Space group P4/mmm (No. 123)
Symmetry-distinct sites (fractional):
Mn 0.0000 0.0000 0.0000 [1 per cell]  8 Tc 2.73, 4 Ru 2.74
Tc 0.0000 0.5000 0.5000 [2 per cell]  2 H 1.93
H 0.5000 0.5000 0.5000 [1 per cell]  2 Ru 1.93, 4 Tc 1.93
Ru 0.5000 0.5000 0.0000 [1 per cell]  2 H 1.93

***

Energies in meV/atom, measured from the most stable structure: (i) 0; (ii) 29.

***

(i)
Computed, not measured: crystalline Mn2VHRu at its relaxed geometry at the PBE level of DFT.

Summary:
Crystal system: tetragonal
Volume in Å³ per atom: 10.151
Size of the total moment in μB per cell: 0.003

a b c (Å): 3.6614 3.6614 3.7859
angles (deg): 90.00 90.00 90.00
Last column: nearest neighbours and their distance in Å.
Space group P4/mmm (No. 123)
Symmetry-distinct sites (fractional):
Mn 0.0000 0.5000 0.0000 [2 per cell]  2 H 1.83
V 0.0000 0.0000 0.5000 [1 per cell]  2 H 1.89
H 0.0000 0.0000 0.0000 [1 per cell]  4 Mn 1.83, 2 V 1.89
Ru 0.5000 0.5000 0.5000 [1 per cell]  4 V 2.59, 8 Mn 2.63

***

(ii)
Computed, not measured: crystalline Mn2VHRu at its relaxed geometry at the PBE level of DFT.

Summary:
Crystal system: tetragonal
Volume in Å³ per atom: 10.241
Size of the total moment in μB per cell: 0.001

a b c (Å): 3.6751 3.6751 3.7912
angles (deg): 90.00 90.00 90.00
Last column: nearest neighbours and their distance in Å.
Space group P4/mmm (No. 123)
Symmetry-distinct sites (fractional):
Mn 0.0000 0.5000 0.0000 [2 per cell]  2 H 1.84
V 0.0000 0.0000 0.5000 [1 per cell]  4 Ru 2.60, 8 Mn 2.64
H 0.5000 0.5000 0.0000 [1 per cell]  4 Mn 1.84, 2 Ru 1.90
Ru 0.5000 0.5000 0.5000 [1 per cell]  2 H 1.90

***

Energies in meV/atom, measured from the most stable structure: (i) 0; (ii) 38.